Entry 1:
The following is a DFT calculation (meta-GGA SCAN) of a crystal of NaNb3O8 relaxed with PBEsol.

## Properties
formation energy from raw total energies	-2684	meV/atom
total energy	-371.333	eV/cell
energy above the most stable polymorph in this dataset	23	meV per atom
Fermi-level density of states	0.000	states/eV/f.u.

Structure (extended XYZ):
```
24
Lattice="-2.301 2.040 2.248 -0.110 -6.594 5.873 8.230 4.073 4.727" Properties=species:S:1:pos:R:3 pbc="T T T"
Nb 3.076 -0.158 6.519
Nb 6.131 1.032 5.339
Nb 3.949 1.954 2.268
Nb 6.088 -1.525 7.616
Nb 0.827 -3.274 7.045
Nb 0.894 0.764 3.449
O 4.867 1.369 3.739
O 0.132 1.655 1.860
O 2.324 2.739 3.119
O 4.504 -0.499 8.289
O 6.892 0.141 6.927
O 2.486 0.184 2.378
O -0.203 -2.897 5.649
O 4.701 -0.944 5.668
O -0.166 -0.647 3.645
O 2.157 0.426 5.048
O 2.411 -4.300 6.371
O 7.118 -1.902 9.012
O 7.190 2.443 5.142
O 4.792 -3.129 7.745
O 4.539 1.612 6.410
O 2.122 -1.670 6.915
Na 0.510 -3.018 3.261
Na 6.514 4.813 5.526
```



Entry 2:
The following is a DFT calculation (meta-GGA SCAN) of a crystal of Li2HfZrPt relaxed with PBEsol.

## Properties
energy of formation from the pure elements	1.30	eV per atom
total energy	-161.851	eV/cell
Fermi-level density of states	3.284	states/eV/f.u.

Structure (extended XYZ):
```
5
Lattice="4.418 0.000 0.000 0.000 4.418 0.000 0.000 0.000 4.917" Properties=species:S:1:pos:R:3 pbc="T T T"
Pt 2.209 2.209 2.458
Li 0.000 2.209 0.000
Li 2.209 0.000 0.000
Hf 0.000 0.000 2.458
Zr 0.000 0.000 0.000
```



Entry 3:
The following is a DFT calculation (meta-GGA SCAN) of a crystal of YIrSe2 relaxed with PBEsol.

## Properties
formation energy from raw total energies	-875	meV/atom
total energy	-142.599	eV/cell
energy above the most stable polymorph in this dataset	0	meV per atom
Fermi-level density of states	1.812	states/eV/f.u.

Structure (extended XYZ):
```
4
Lattice="-2.218 0.397 3.265 1.078 -1.808 3.362 3.333 5.161 4.048" Properties=species:S:1:pos:R:3 pbc="T T T"
Se -0.740 -0.804 6.826
Se 1.487 2.574 7.929
Ir 0.342 0.625 2.567
Y 1.058 1.817 5.319
```



What ρ values result from the calculations? In sequence: 4.11 8.28 7.65 g cm⁻³.